Here is a geometry-optimized NaGaTe3As structure from the Alexandria database. Energies are from PBE.

Calculated density (g/cm³): 4.4
Spin magnetization (Bohr magnetons per cell): 0.0
Total energy (eV/atom): -3.35

abc: 8.8828 4.2071 11.1967
angles: 90.00 100.94 90.00
Closest atoms and distances in Å follow each position.
Space group P2_1/m (No. 11)
Unique sites:
Na: 0.1523 0.2500 0.1601 x2  5 Te 3.18-3.42
Ga: 0.0790 0.2500 0.6132 x2  4 Te 2.61-2.74
Te: 0.1191 0.2500 0.8505 x2  1 Ga 2.61
Te: 0.2123 0.7500 0.5223 x2  3 Ga 2.71-2.74
Te: 0.4250 0.7500 0.1348 x2  3 As 2.77-3.08
As: 0.3706 0.7500 0.8549 x2  5 Te 2.77-3.08